{
  "formula": "KMgSb",
  "functional": "PBE",
  "state": "relaxed",
  "lattice_angstrom": [[3.843, 0.000, 0.000], [-1.921, 3.328, 0.000], [0.000, 0.000, 8.099]],
  "species": ["K", "Mg", "Sb"],
  "frac_coords": [[0.000, 0.000, 0.000], [0.667, 0.333, 0.413], [0.333, 0.667, 0.653]],
  "sg": "P3m1, No. 156"
}

***

{
  "formula": "Cs2SiTe4Au2",
  "functional": "PBE",
  "state": "relaxed",
  "lattice_angstrom": [[6.535, -4.611, 0.000], [6.535, 4.611, 0.000], [-2.084, 0.000, 5.427]],
  "species": ["Cs", "Cs", "Si", "Te", "Te", "Te", "Te", "Au", "Au"],
  "frac_coords": [[0.137, 0.137, 0.382], [0.863, 0.863, 0.618], [0.500, 0.500, 0.500], [0.150, 0.579, 0.092], [0.421, 0.850, 0.908], [0.579, 0.150, 0.092], [0.850, 0.421, 0.908], [0.406, 0.406, 0.777], [0.594, 0.594, 0.223]],
  "sg": "C2/m, No. 12"
}

***

{
  "formula": "Pa2AlSi4Ir3",
  "functional": "PBE",
  "state": "relaxed",
  "lattice_angstrom": [[4.095, 0.000, 0.000], [0.000, 4.095, 0.000], [0.000, 0.000, 10.149]],
  "species": ["Pa", "Pa", "Al", "Si", "Si", "Si", "Si", "Ir", "Ir", "Ir"],
  "frac_coords": [[0.000, 0.500, 0.245], [0.500, 0.000, 0.755], [0.000, 0.000, 0.500], [0.000, 0.000, 0.000], [0.000, 0.500, 0.641], [0.500, 0.000, 0.359], [0.500, 0.500, 0.000], [0.000, 0.500, 0.873], [0.500, 0.000, 0.127], [0.500, 0.500, 0.500]],
  "sg": "P-4m2, No. 115"
}

***

Result set for energy: -2.235; -3.235; -7.967 eV per atom, one per record in the order listed.
Result set for energy relative to the elements, uncorrected: 36; -318; -866 meV/atom, one per record in the order listed.